1.
## HoPuRuPb (PBE)

Data for HoPuRuPb after structural relaxation.

abc: 3.332 3.332 8.639
angles: 90.00 90.00 90.00
Positions (direct):
Ho1 0.000 0.000 0.000
Pu1 0.000 0.000 0.602
Ru1 0.500 0.500 0.801
Pb1 0.500 0.500 0.298

Values from the calculation:
ΔH_f (0 K) = -6.9 kcal/mol of atoms
Polymorph energy (0 for the lowest one) = 0.0 meV per atom

2.
## Ho4PuPbS8 (PBE)

Data for Ho4PuPbS8 after structural relaxation.

abc: 8.218 8.218 8.218
angles: 59.09 59.09 59.09
Positions (direct):
Ho1 0.000 0.000 0.000
Ho2 0.377 0.377 0.870
Ho3 0.377 0.870 0.377
Ho4 0.870 0.377 0.377
Pu1 0.376 0.376 0.376
Pb1 0.750 0.750 0.750
S1 0.127 0.127 0.605
S2 0.127 0.605 0.127
S3 0.132 0.132 0.132
S4 0.166 0.616 0.616
S5 0.605 0.127 0.127
S6 0.610 0.610 0.610
S7 0.616 0.166 0.616
S8 0.616 0.616 0.166

Values from the calculation:
ΔE_f (raw) = -1707 meV/atom

3.
## HoPuSnPb (PBE)

Data for HoPuSnPb after structural relaxation.

abc: 5.379 5.379 5.379
angles: 60.00 60.00 60.00
Positions (direct):
Ho1 0.000 0.000 0.000
Pu1 0.500 0.500 0.500
Sn1 0.750 0.750 0.750
Pb1 0.250 0.250 0.250

Values from the calculation:
ΔH_f (0 K) = -7.4 kcal/mol of atoms

4.
## HoPuTlPb (PBE)

Data for HoPuTlPb after structural relaxation.

abc: 3.456 3.456 9.194
angles: 90.00 90.00 90.00
Positions (direct):
Ho1 0.000 0.000 0.000
Pu1 0.000 0.000 0.496
Tl1 0.500 0.500 0.244
Pb1 0.500 0.500 0.753

Values from the calculation:
ΔH_f (0 K) = -5.3 kcal/mol of atoms
Polymorph energy (0 for the lowest one) = 0.0 meV per atom

5.
## HoPuTlPb (PBE)

Data for HoPuTlPb after structural relaxation.

abc: 5.413 5.413 5.413
angles: 60.00 60.00 60.00
Positions (direct):
Ho1 0.000 0.000 0.000
Pu1 0.500 0.500 0.500
Tl1 0.750 0.750 0.750
Pb1 0.250 0.250 0.250

Values from the calculation:
ΔH_f (0 K) = -4.4 kcal/mol of atoms
Polymorph energy (0 for the lowest one) = 38.6 meV per atom

6.
## HoPuZnPb (PBE)

Data for HoPuZnPb after structural relaxation.

abc: 5.271 5.271 5.271
angles: 60.00 60.00 60.00
Positions (direct):
Ho1 0.000 0.000 0.000
Pu1 0.500 0.500 0.500
Zn1 0.250 0.250 0.250
Pb1 0.750 0.750 0.750

Values from the calculation:
ΔH_f (0 K) = -4.5 kcal/mol of atoms

7.
## RbHoPb2 (PBE)

Data for RbHoPb2 after structural relaxation.

abc: 4.122 4.122 8.377
angles: 90.00 90.00 90.00
Positions (direct):
Rb1 0.000 0.000 0.000
Ho1 0.000 0.000 0.500
Pb1 0.500 0.500 0.312
Pb2 0.500 0.500 0.688

Values from the calculation:
ΔH_f (0 K) = -6.7 kcal/mol of atoms
Polymorph energy (0 for the lowest one) = 0.0 meV per atom

8.
## RbHoPb2 (PBE)

Data for RbHoPb2 after structural relaxation.

abc: 11.299 11.299 11.299
angles: 19.39 19.39 19.39
Positions (direct):
Rb1 0.000 0.000 0.000
Ho1 0.500 0.500 0.500
Pb1 0.241 0.241 0.241
Pb2 0.759 0.759 0.759

Values from the calculation:
ΔH_f (0 K) = -3.6 kcal/mol of atoms
Polymorph energy (0 for the lowest one) = 135.4 meV per atom

9.
## Rb3Ho2PbS6 (PBE)

Data for Rb3Ho2PbS6 after structural relaxation.

abc: 7.130 7.130 8.047
angles: 98.48 98.48 120.00
Positions (direct):
Rb1 0.000 0.000 0.000
Rb2 0.337 0.663 0.000
Rb3 0.663 0.337 0.000
Ho1 0.167 0.833 0.500
Ho2 0.833 0.167 0.500
Pb1 0.500 0.500 0.500
S1 0.088 0.435 0.305
S2 0.218 0.218 0.694
S3 0.435 0.088 0.305
S4 0.565 0.912 0.695
S5 0.782 0.782 0.306
S6 0.912 0.565 0.695

Values from the calculation:
ΔE_f (raw) = -1435 meV/atom

10.
## RbHo2Te6Pb3 (PBE)

Data for RbHo2Te6Pb3 after structural relaxation.

abc: 10.167 10.167 9.903
angles: 100.02 100.02 25.24
Positions (direct):
Rb1 0.000 0.000 0.000
Ho1 0.329 0.329 0.666
Ho2 0.671 0.671 0.334
Te1 0.169 0.169 0.560
Te2 0.183 0.183 0.120
Te3 0.483 0.483 0.723
Te4 0.517 0.517 0.277
Te5 0.817 0.817 0.880
Te6 0.831 0.831 0.440
Pb1 0.000 0.000 0.500
Pb2 0.342 0.342 0.173
Pb3 0.658 0.658 0.827

Values from the calculation:
ΔE_f (raw) = -789 meV/atom

11.
## Ho2RhPb (PBE)

Data for Ho2RhPb after structural relaxation.

abc: 5.125 5.125 5.125
angles: 60.00 60.00 60.00
Positions (direct):
Ho1 0.250 0.250 0.250
Ho2 0.750 0.750 0.750
Rh1 0.000 0.000 0.000
Pb1 0.500 0.500 0.500

Values from the calculation:
ΔH_f (0 K) = -12.1 kcal/mol of atoms
Polymorph energy (0 for the lowest one) = 169.9 meV per atom

12.
## Ho2RhPb (PBE)

Data for Ho2RhPb after structural relaxation.

abc: 4.913 4.913 3.917
angles: 90.00 90.00 90.00
Positions (direct):
Ho1 0.000 0.500 0.000
Ho2 0.500 0.000 0.000
Rh1 0.000 0.000 0.500
Pb1 0.500 0.500 0.500

Values from the calculation:
ΔH_f (0 K) = -12.5 kcal/mol of atoms
Polymorph energy (0 for the lowest one) = 152.3 meV per atom

Number 1: total magnetic moment 4.9 μB per formula unit. Number 2: total magnetic moment 6.0 μB per formula unit. Number 3: total magnetic moment 6.0 μB per formula unit. Number 4: total magnetic moment 6.1 μB per formula unit. Number 5: total magnetic moment 6.2 μB per formula unit. Number 6: total magnetic moment 6.6 μB per formula unit. Number 7: total magnetic moment 0.0 μB per formula unit. Number 8: total magnetic moment 0.0 μB per formula unit. Number 9: total magnetic moment 0.0 μB per formula unit. Number 10: total magnetic moment 0.0 μB per formula unit. Number 11: total magnetic moment 0.0 μB per formula unit. Number 12: total magnetic moment 0.0 μB per formula unit.